Density functional theory data (PBE-GGA) for Tl2Bi2Sb after structural relaxation.

Symmetry ... P4/mbm, No. 127
Polymorph energy (0 for the lowest one) ... 173 meV/atom

a b c (Å): 9.8396 9.8396 3.3488
angles (deg): 90.00 90.00 90.00
Element x y z (fractional)
Sb: 0.0000 0.0000 0.0000
Sb: 0.5000 0.5000 0.0000
Tl: 0.3767 0.8767 0.0000
Tl: 0.8767 0.6233 0.0000
Tl: 0.6233 0.1233 0.0000
Tl: 0.1233 0.3767 0.0000
Bi: 0.1766 0.6766 0.5000
Bi: 0.6766 0.8234 0.5000
Bi: 0.8234 0.3234 0.5000
Bi: 0.3234 0.1766 0.5000


Density functional theory data (PBE-GGA) for LaNd2In6 after structural relaxation.

Symmetry ... P6/mmm, No. 191
Energy of formation from the pure elements ... -0.478 eV/atom
Polymorph energy (0 for the lowest one) ... 0 meV/atom

a b c (Å): 3.7638 8.7063 8.7064
angles (deg): 120.00 90.00 90.00
Element x y z (fractional)
La: 0.0000 0.0000 0.0000
Nd: 0.0000 0.3333 0.6667
Nd: 0.0000 0.6667 0.3333
In: 0.5000 0.3345 0.3345
In: 0.5000 0.6655 0.6655
In: 0.5000 0.0000 0.6655
In: 0.5000 0.6655 0.0000
In: 0.5000 0.3345 0.0000
In: 0.5000 0.0000 0.3345


Density functional theory data (PBE-GGA) for Y2Np2S7 after structural relaxation.

Symmetry ... P-4m2, No. 115
Polymorph energy (0 for the lowest one) ... 70 meV/atom

a b c (Å): 4.5778 4.5778 12.9478
angles (deg): 90.00 90.00 90.00
Element x y z (fractional)
Y: 0.5000 0.0000 0.8593
Y: 0.0000 0.5000 0.1407
Np: 0.5000 0.0000 0.3775
Np: 0.0000 0.5000 0.6225
S: 0.5000 0.5000 0.0000
S: 0.0000 0.0000 0.2408
S: 0.5000 0.5000 0.2607
S: 0.0000 0.0000 0.5000
S: 0.5000 0.5000 0.5000
S: 0.0000 0.0000 0.7592
S: 0.5000 0.5000 0.7393


Density functional theory data (PBE-GGA) for AcLa5N4 after structural relaxation.

Symmetry ... C2/m, No. 12

a b c (Å): 3.7345 7.7815 8.4220
angles (deg): 102.15 102.81 90.00
Element x y z (fractional)
Ac: 0.5000 0.0000 0.0000
La: 0.8409 0.6996 0.6818
La: 0.8336 0.1480 0.6671
La: 0.1664 0.8520 0.3329
La: 0.5000 0.5000 0.0000
La: 0.1591 0.3004 0.3182
N: 0.3269 0.9172 0.6537
N: 0.9917 0.7300 0.9834
N: 0.6731 0.0828 0.3463
N: 0.0083 0.2700 0.0166


Density functional theory data (PBE-GGA) for AsIrRu after structural relaxation.

Symmetry ... Fmm2, No. 42
Energy of formation from the pure elements ... 0.444 eV/atom
Polymorph energy (0 for the lowest one) ... 409 meV/atom

a b c (Å): 7.2882 7.0066 2.7983
angles (deg): 84.43 73.10 22.47
Element x y z (fractional)
Ru: 0.6672 0.6672 0.3328
As: 0.0030 0.0030 0.9970
Ir: 0.3298 0.3298 0.6702


Density functional theory data (PBE-GGA) for AlAs2Au after structural relaxation.

Symmetry ... P4/mmm, No. 123
Energy of formation from the pure elements ... 0.226 eV/atom

a b c (Å): 3.1573 3.1573 7.3777
angles (deg): 90.00 90.00 90.00
Element x y z (fractional)
As: 0.0000 0.0000 0.9834
As: 0.0000 0.0000 0.5166
Au: 0.5000 0.5000 0.2500
Al: 0.5000 0.5000 0.7500


We obtain VASP energy values of -3.0695, -3.9111, -7.6783, -7.2115, -7.1516, -3.8542 eV per atom for the records listed above, in that order.
We obtain density of states at the Fermi level values of 6.3, 3.6, 21.7, 5.9, 3.4, 1.9 states/eV per cell for the records listed above, in that order.